# 1
The following is a PBE calculation of an optimized crystal structure of BaRhI2O, from the Alexandria database.

```
5
Lattice="-5.672 -1.479 -0.187 0.947 -4.143 4.041 -0.777 2.618 2.866" Properties=species:S:1:pos:R:3 pbc="T T T"
I 0.474 -2.071 2.020
I -2.836 -0.740 -0.094
Rh 0.000 0.000 0.000
Ba -2.751 -1.502 3.360
O -0.389 1.309 1.433
```

Summary:
symmetry	P4/mmm (123)
N(E_F)	2.83	states/eV/f.u.
E_tot	-4.326	eV per atom
raw formation energy	-859	meV/atom

# 2
The following is a PBE calculation of an optimized crystal structure of RbNa2PmBr6, from the Alexandria database.

```
10
Lattice="-5.768 3.618 3.622 0.109 0.705 7.680 1.568 7.557 3.157" Properties=species:S:1:pos:R:3 pbc="T T T"
Rb -3.624 7.928 10.942
Na -2.243 5.592 7.265
Na 1.522 7.475 3.165
Pm -1.791 1.609 3.751
Br -2.980 4.049 4.756
Br -0.962 3.315 8.812
Br -4.963 5.553 8.610
Br -0.750 7.496 9.231
Br -2.982 8.465 6.306
Br 0.258 6.572 5.680
```

Summary:
symmetry	R3 (146)
N(E_F)	0.00	states/eV/f.u.
E_tot	-3.570	eV per atom
raw formation energy	-1730	meV/atom

# 3
The following is a PBE calculation of an optimized crystal structure of Sr2CaCr, from the Alexandria database.

```
4
Lattice="5.602 0.006 0.000 -0.008 5.602 0.000 0.000 0.000 5.010" Properties=species:S:1:pos:R:3 pbc="T T T"
Sr 0.000 0.000 0.000
Sr 2.797 2.804 0.000
Ca 2.801 0.003 2.505
Cr -0.004 2.801 2.505
```

Summary:
formation energy from the elements	463	meV per atom
symmetry	P4/mmm (123)
N(E_F)	4.95	states/eV/f.u.
E_tot	-3.284	eV per atom

# 4
The following is a PBE calculation of an optimized crystal structure of InAgGe, from the Alexandria database.

```
12
Lattice="5.931 0.000 0.000 0.000 3.371 0.000 0.000 0.000 12.658" Properties=species:S:1:pos:R:3 pbc="T T T"
Ge 1.482 0.843 4.925
Ge 1.483 2.528 11.254
Ge 4.449 2.528 7.733
Ge 4.448 0.843 1.404
Ag 0.000 0.843 9.494
Ag 2.965 2.528 3.165
Ag 5.931 2.528 3.165
Ag 2.966 0.843 9.494
In 4.448 0.843 5.287
In 4.449 2.528 11.616
In 1.483 2.528 7.371
In 1.483 0.843 1.042
```

Summary:
formation energy from the elements	121	meV per atom
symmetry	Cmcm (63)
N(E_F)	1.23	states/eV/f.u.
E_tot	-3.281	eV per atom

# 5
The following is a PBE calculation of an optimized crystal structure of GdFe4Ru, from the Alexandria database.

```
6
Lattice="-2.469 -0.231 4.327 -0.743 -4.406 2.215 2.437 -1.119 4.205" Properties=species:S:1:pos:R:3 pbc="T T T"
Ru 0.000 0.000 0.000
Gd -0.194 -1.439 2.687
Fe -1.708 -3.038 4.611
Fe -0.112 -1.388 5.610
Fe -0.485 -3.600 6.723
Fe 0.755 -3.484 4.550
```

Summary:
formation energy from the elements	105	meV per atom
symmetry	F-43m (216)
N(E_F)	7.02	states/eV/f.u.
E_tot	-9.430	eV per atom

# 6
The following is a PBE calculation of an optimized crystal structure of TlGaHg2Cl4, from the Alexandria database.

```
16
Lattice="8.095 0.000 0.000 4.048 5.889 0.000 4.048 0.000 12.778" Properties=species:S:1:pos:R:3 pbc="T T T"
Tl 10.119 2.944 6.389
Tl 0.000 0.000 0.000
Ga 6.071 2.944 6.389
Ga 4.048 0.000 0.000
Hg 4.048 0.000 9.177
Hg 8.095 0.000 3.601
Hg 10.119 2.944 9.991
Hg 10.119 2.944 2.788
Cl 6.789 4.618 1.240
Cl 6.789 1.270 11.539
Cl 13.448 4.618 11.539
Cl 5.353 1.270 1.240
Cl 7.377 4.214 5.150
Cl 7.377 1.674 7.629
Cl 12.861 4.214 7.629
Cl 4.766 1.674 5.150
```

Summary:
symmetry	Fddd (70)
N(E_F)	0.00	states/eV/f.u.
E_tot	-2.489	eV per atom
raw formation energy	-816	meV/atom

# 7
The following is a PBE calculation of an optimized crystal structure of Be2SiPd8, from the Alexandria database.

```
11
Lattice="3.878 0.000 -1.180 -1.038 6.003 -3.409 -0.050 -0.207 6.797" Properties=species:S:1:pos:R:3 pbc="T T T"
Be 0.018 4.096 0.059
Be 2.773 1.700 2.149
Si 1.939 0.000 -0.590
Pd 1.631 5.229 -1.601
Pd 0.700 3.224 2.299
Pd 0.367 0.749 1.206
Pd -0.333 1.926 -1.094
Pd 2.423 5.047 1.001
Pd 2.091 2.571 -0.091
Pd 1.159 0.566 3.809
Pd 3.123 3.870 3.302
```

Summary:
symmetry	Immm (71)
N(E_F)	6.46	states/eV/f.u.
E_tot	-5.279	eV per atom
raw formation energy	-332	meV/atom

# 8
The following is a PBE calculation of an optimized crystal structure of MoRuW2, from the Alexandria database.

```
4
Lattice="-3.782 -1.703 1.503 1.360 -1.195 2.067 -0.280 3.786 3.586" Properties=species:S:1:pos:R:3 pbc="T T T"
Mo -1.621 -0.204 2.165
Ru -1.081 1.091 4.992
W 0.026 -0.020 0.042
W 0.514 1.316 2.784
```

Summary:
formation energy from the elements	120	meV per atom
symmetry	P2/m (10)
N(E_F)	4.01	states/eV/f.u.
E_tot	-11.383	eV per atom